This record from Alexandria describes a relaxed structure of Co2TcW2. The functional is GGA-PBE.

abc: 6.674 6.674 3.048
angles: 90.00 90.00 90.00
Space group P4/mbm (No. 127)
Symmetry-distinct sites (fractional):
Co 0.123 0.377 0.000 [4 per cell]
Tc 0.000 0.000 0.000 [2 per cell]
W 0.177 0.677 0.500 [4 per cell]

Summary:
* electronic total energy: -0.3665 hartree per atom
* magnetization: 0.00 μB per formula unit
* DOS(E_F): 15.1 states/eV per cell
* calculated formation energy: 0.6 eV per formula unit

---

This record from Alexandria describes a relaxed structure of TbDyErMg. The functional is GGA-PBE.

abc: 3.566 3.566 9.253
angles: 90.00 90.00 90.00
Space group P4mm (No. 99)
Symmetry-distinct sites (fractional):
Tb 0.000 0.000 0.000 [1 per cell]
Dy 0.500 0.500 0.266 [1 per cell]
Er 0.000 0.000 0.528 [1 per cell]
Mg 0.500 0.500 0.761 [1 per cell]

Summary:
* electronic total energy: -0.1423 hartree per atom
* magnetization: 0.00 μB per formula unit
* DOS(E_F): 4.9 states/eV per cell
* calculated formation energy: -0.1 eV per formula unit

---

This record from Alexandria describes a relaxed structure of Y2MoP. The functional is GGA-PBE.

abc: 4.1275 4.1275 20.4826
angles: 90.00 90.00 120.00
Space group R3m (No. 160, hexagonal axes)
Symmetry-distinct sites (fractional):
Y 0.0000 0.0000 0.0000 [3 per cell]
Y 0.0000 0.0000 0.1833 [3 per cell]
Mo 0.0000 0.0000 0.4250 [3 per cell]
P 0.0000 0.0000 0.7592 [3 per cell]

Summary:
* electronic total energy: -0.2802 hartree per atom
* magnetization: 0.00 μB per formula unit
* DOS(E_F): 11.0 states/eV per cell
* calculated formation energy: -1.3 eV per formula unit

---

This record from Alexandria describes a relaxed structure of Th2BePd. The functional is GGA-PBE.

abc: 3.3593 3.3593 32.1924
angles: 90.00 90.00 120.00
Space group R-3m (No. 166, hexagonal axes)
Symmetry-distinct sites (fractional):
Th 0.0000 0.0000 0.0936 [6 per cell]
Be 0.0000 0.0000 0.0000 [3 per cell]
Pd 0.0000 0.0000 0.5000 [3 per cell]

Summary:
* electronic total energy: -0.1975 hartree per atom
* magnetization: 0.00 μB per formula unit
* DOS(E_F): 13.4 states/eV per cell
* calculated formation energy: 2.3 eV per formula unit

---

This record from Alexandria describes a relaxed structure of Ba2Mg5Zn5. The functional is GGA-PBE.

abc: 4.459 6.383 10.376
angles: 90.00 90.00 90.00
Space group Pmmm (No. 47)
Symmetry-distinct sites (fractional):
Ba 0.000 0.000 0.000 [1 per cell]
Ba 0.000 0.500 0.500 [1 per cell]
Mg 0.500 0.000 0.500 [1 per cell]
Mg 0.500 0.255 0.240 [4 per cell]
Zn 0.000 0.000 0.332 [2 per cell]
Zn 0.000 0.500 0.142 [2 per cell]
Zn 0.500 0.500 0.000 [1 per cell]

Summary:
* electronic total energy: -0.0613 hartree per atom
* magnetization: 0.00 μB per formula unit
* DOS(E_F): 6.4 states/eV per cell
* calculated formation energy: -1.8 eV per formula unit

---

This record from Alexandria describes a relaxed structure of SrBeGe2Au. The functional is GGA-PBE.

abc: 5.225 5.225 4.450
angles: 90.00 90.00 90.00
Space group P4/mmm (No. 123)
Symmetry-distinct sites (fractional):
Sr 0.000 0.000 0.000 [1 per cell]
Be 0.500 0.500 0.000 [1 per cell]
Ge 0.000 0.500 0.500 [2 per cell]
Au 0.500 0.500 0.500 [1 per cell]

Summary:
* electronic total energy: -0.1261 hartree per atom
* magnetization: 0.00 μB per formula unit
* DOS(E_F): 1.8 states/eV per cell
* calculated formation energy: 0.8 eV per formula unit

---

This record from Alexandria describes a relaxed structure of PmDyNi2H8. The functional is GGA-PBE.

abc: 4.4680 4.4680 18.7773
angles: 90.00 90.00 120.00
Space group R-3m (No. 166, hexagonal axes)
Symmetry-distinct sites (fractional):
Pm 0.0000 0.0000 0.0000 [3 per cell]
Dy 0.0000 0.0000 0.5000 [3 per cell]
Ni 0.0000 0.0000 0.2577 [6 per cell]
H 0.0000 0.0000 0.3432 [6 per cell]
H 0.0333 0.5167 0.5561 [18 per cell]

Summary:
* electronic total energy: -0.1577 hartree per atom
* magnetization: 0.00 μB per formula unit
* DOS(E_F): 9.3 states/eV per cell

---

This record from Alexandria describes a relaxed structure of Ca2TaInGa. The functional is GGA-PBE.

abc: 5.839 5.839 4.904
angles: 90.00 90.00 90.00
Space group P4/mmm (No. 123)
Symmetry-distinct sites (fractional):
Ca 0.000 0.500 0.000 [2 per cell]
Ta 0.000 0.000 0.500 [1 per cell]
In 0.500 0.500 0.000 [1 per cell]
Ga 0.500 0.500 0.500 [1 per cell]

Summary:
* electronic total energy: -0.1189 hartree per atom
* magnetization: 3.48 μB per formula unit
* DOS(E_F): 3.9 states/eV per cell
* calculated formation energy: 5.4 eV per formula unit

---

This record from Alexandria describes a relaxed structure of YTe2Pb. The functional is GGA-PBE.

abc: 4.144 4.955 6.323
angles: 90.00 109.04 90.00
Space group Pm (No. 6)
Symmetry-distinct sites (fractional):
Y 0.000 0.000 0.000 [1 per cell]
Te 0.453 0.500 0.905 [1 per cell]
Te 0.712 0.000 0.423 [1 per cell]
Pb 0.198 0.500 0.395 [1 per cell]

Summary:
* electronic total energy: -0.1793 hartree per atom
* magnetization: 0.00 μB per formula unit
* DOS(E_F): 2.3 states/eV per cell
* E_form (uncorrected): -3.06 eV/f.u.

---

This record from Alexandria describes a relaxed structure of PrSmSi. The functional is GGA-PBE.

abc: 14.500 7.018 6.939
angles: 90.00 90.00 90.00
Space group Cmce (No. 64)
Symmetry-distinct sites (fractional):
Pr 0.000 0.179 0.184 [8 per cell]
Sm 0.250 0.237 0.750 [8 per cell]
Si 0.131 0.000 0.500 [8 per cell]

Summary:
* electronic total energy: -0.1978 hartree per atom
* magnetization: 0.00 μB per formula unit
* DOS(E_F): 26.1 states/eV per cell
* E_form (uncorrected): -1.22 eV/f.u.

---

This record from Alexandria describes a relaxed structure of LiMnAlIn. The functional is GGA-PBE.

abc: 6.377 6.377 6.377
angles: 90.00 90.00 90.00
Space group F-43m (No. 216)
Symmetry-distinct sites (fractional):
Li 0.000 0.000 0.000 [4 per cell]
Mn 0.000 0.000 0.500 [4 per cell]
Al 0.250 0.250 0.250 [4 per cell]
In 0.250 0.250 0.750 [4 per cell]

Summary:
* electronic total energy: -0.1634 hartree per atom
* magnetization: 3.16 μB per formula unit
* DOS(E_F): 8.6 states/eV per cell
* calculated formation energy: -0.2 eV per formula unit

---

This record from Alexandria describes a relaxed structure of Ac2NdSn2. The functional is GGA-PBE.

abc: 13.456 4.979 12.011
angles: 90.00 116.93 90.00
Space group C2/m (No. 12)
Symmetry-distinct sites (fractional):
Ac 0.012 0.000 0.183 [4 per cell]
Ac 0.184 0.000 0.594 [4 per cell]
Nd 0.218 0.500 0.863 [4 per cell]
Sn 0.024 0.500 0.390 [4 per cell]
Sn 0.125 0.500 0.070 [4 per cell]

Summary:
* electronic total energy: -0.1770 hartree per atom
* magnetization: 0.00 μB per formula unit
* DOS(E_F): 18.3 states/eV per cell
* calculated formation energy: -3.1 eV per formula unit